No. 1
Computed, not measured: a geometry-optimized NiBiC2F structure at the GGA-PBEsol level of DFT.

Summary:
**ΔE_f (raw)**: 2.613 eV per atom
**SG**: P4/mmm

Cell: 4.4144 4.4144 5.0528 Å, 90.00 90.00 90.00°
Positions (direct):
Ni 0.0000 0.0000 0.5000
C 0.0000 0.5000 0.0000
C 0.5000 0.0000 0.0000
Bi 0.0000 0.0000 0.0000
F 0.5000 0.5000 0.5000

=====

No. 2
Computed, not measured: a geometry-optimized ZnBiCF2 structure at the GGA-PBEsol level of DFT.

Summary:
**ΔE_f (raw)**: 0.039 eV per atom
**SG**: P4/mmm

Cell: 4.4106 4.4106 4.7858 Å, 90.00 90.00 90.00°
Positions (direct):
C 0.0000 0.0000 0.5000
Zn 0.5000 0.5000 0.5000
Bi 0.0000 0.0000 0.0000
F 0.0000 0.5000 0.0000
F 0.5000 0.0000 0.0000

=====

No. 3
Computed, not measured: a geometry-optimized Fe3BiC structure at the GGA-PBEsol level of DFT.

Summary:
**ΔE_f**: 0.28 eV/atom
**SG**: Pm-3m

Cell: 3.8436 3.8436 3.8436 Å, 90.00 90.00 90.00°
Positions (direct):
C 0.0000 0.0000 0.0000
Bi 0.5000 0.5000 0.5000
Fe 0.0000 0.5000 0.0000
Fe 0.0000 0.0000 0.5000
Fe 0.5000 0.0000 0.0000

=====

| no. | total magnetic moment (μB per cell) | E (eV per atom) |
| --- | --- | --- |
| 1 | 1.82 | -3.72 |
| 2 | 0.67 | -3.83 |
| 3 | 0.37 | -7.88 |